Below is crystalline DyTmH2 at its relaxed geometry, with properties calculated at the PBE level.

Lattice parameters (Å, degrees): 6.1385 6.1385 6.1385 32.70 32.70 32.70
Fractional positions:
Dy 0.0000 0.0000 0.0000
Tm 0.8195 0.8195 0.8195
H 0.2287 0.2287 0.2287
H 0.4145 0.4145 0.4145

Symmetry: No. 160
Energy above the most stable polymorph in this dataset (meV/atom): 244
DOS at the Fermi energy (states/eV/cell): 1.426

=====

Below is crystalline DyTmH2 at its relaxed geometry, with properties calculated at the PBE level.

Lattice parameters (Å, degrees): 6.1646 6.1646 6.1646 34.19 34.19 34.19
Fractional positions:
Dy 0.0000 0.0000 0.0000
Tm 0.5000 0.5000 0.5000
H 0.3749 0.3749 0.3749
H 0.6251 0.6251 0.6251

Symmetry: No. 166
Energy above the most stable polymorph in this dataset (meV/atom): 3
DOS at the Fermi energy (states/eV/cell): 1.972

=====

Below is crystalline DyTmH2 at its relaxed geometry, with properties calculated at the PBE level.

Lattice parameters (Å, degrees): 6.2003 6.2003 6.2003 33.63 33.63 33.63
Fractional positions:
Dy 0.0000 0.0000 0.0000
Tm 0.5000 0.5000 0.5000
H 0.1266 0.1266 0.1266
H 0.8734 0.8734 0.8734

Symmetry: No. 166
Energy above the most stable polymorph in this dataset (meV/atom): 0
DOS at the Fermi energy (states/eV/cell): 1.977

=====

Below is crystalline Dy3TmH at its relaxed geometry, with properties calculated at the PBE level.

Lattice parameters (Å, degrees): 4.9634 4.9634 4.9634 90.00 90.00 90.00
Fractional positions:
Dy 0.0000 0.0000 0.5000
Dy 0.0000 0.5000 0.0000
Dy 0.5000 0.0000 0.0000
Tm 0.5000 0.5000 0.5000
H 0.0000 0.0000 0.0000

E (eV/cell): -22.43
Symmetry: No. 221
DOS at the Fermi energy (states/eV/cell): 4.960

=====

What did the fourth record say?
Below is crystalline Dy3TmH at its relaxed geometry, with properties calculated at the PBE level.

Lattice parameters (Å, degrees): 4.9634 4.9634 4.9634 90.00 90.00 90.00
Fractional positions:
Dy 0.0000 0.0000 0.5000
Dy 0.0000 0.5000 0.0000
Dy 0.5000 0.0000 0.0000
Tm 0.5000 0.5000 0.5000
H 0.0000 0.0000 0.0000

E (eV/cell): -22.43
Symmetry: No. 221
DOS at the Fermi energy (states/eV/cell): 4.960